Compound: YGe2Ir
Source: the Alexandria database
Functional: PBEsol
Structure: optimized geometry

POSCAR file:
```
YGe2Ir
1.0
-2.122 4.402 7.960
2.122 -4.402 7.960
2.122 4.402 -7.960
Y Ge Ir
4 8 4
Direct
0.206 0.206 0.000 Y
0.239 0.000 0.239 Y
0.761 0.000 0.761 Y
0.794 0.794 0.000 Y
0.077 0.577 0.500 Ge
0.147 0.799 0.347 Ge
0.422 0.422 0.000 Ge
0.452 0.799 0.653 Ge
0.548 0.201 0.347 Ge
0.578 0.578 0.000 Ge
0.853 0.201 0.653 Ge
0.923 0.423 0.500 Ge
0.105 0.355 0.750 Ir
0.396 0.645 0.750 Ir
0.604 0.355 0.250 Ir
0.895 0.645 0.250 Ir
```

Results
density of states at the Fermi level: 5.4 states/eV/cell
ΔH_f (0 K): -0.860 eV/atom
E: -7.491 eV per atom
space group: Immm, No. 71
calculated volume: 18.59 A^3/atom